# 1
Material: ScF
Method: DFT, PBE
State: optimized geometry

Cell lengths 6.662, 6.662, 6.662 Å; angles 90.00, 90.00, 90.00 degrees
Atoms (fractional coordinates):
1 Sc 0.305 0.305 0.305
2 Sc 0.305 0.695 0.695
3 Sc 0.695 0.305 0.695
4 Sc 0.695 0.695 0.305
5 Sc 0.805 0.805 0.805
6 Sc 0.805 0.195 0.195
7 Sc 0.195 0.805 0.195
8 Sc 0.195 0.195 0.805
9 F 0.129 0.129 0.129
10 F 0.129 0.871 0.871
11 F 0.871 0.129 0.871
12 F 0.871 0.871 0.129
13 F 0.629 0.629 0.629
14 F 0.629 0.371 0.371
15 F 0.371 0.629 0.371
16 F 0.371 0.371 0.629

## Properties
As for the formation energy (no corrections): -2.220 eV/atom. The electronic total energy is -6.321 eV/atom. As for the symmetry: I-43m, No. 217.



# 2
Material: ScF
Method: DFT, PBE
State: optimized geometry

Cell lengths 8.584, 8.584, 3.471 Å; angles 90.00, 90.00, 120.00 degrees
Atoms (fractional coordinates):
1 Sc 0.860 0.278 0.250
2 Sc 0.581 0.860 0.750
3 Sc 0.722 0.581 0.250
4 Sc 0.140 0.722 0.750
5 Sc 0.419 0.140 0.250
6 Sc 0.278 0.419 0.750
7 F 0.614 0.037 0.250
8 F 0.578 0.614 0.750
9 F 0.963 0.578 0.250
10 F 0.386 0.963 0.750
11 F 0.422 0.386 0.250
12 F 0.037 0.422 0.750

## Properties
As for the formation energy (no corrections): -2.196 eV/atom. The electronic total energy is -6.297 eV/atom. As for the symmetry: P6_3/m, No. 176.



# 3
Material: ScF3
Method: DFT, PBE
State: optimized geometry

Cell lengths 4.477, 4.477, 4.477 Å; angles 46.93, 46.93, 46.93 degrees
Atoms (fractional coordinates):
1 Sc 0.500 0.500 0.500
2 F 0.000 0.000 0.000
3 F 0.783 0.783 0.783
4 F 0.217 0.217 0.217

## Properties
As for the formation energy (no corrections): -3.357 eV/atom. The electronic total energy is -6.343 eV/atom. As for the symmetry: R-3m, No. 166.



# 4
Material: ScF
Method: DFT, PBE
State: optimized geometry

Cell lengths 3.180, 3.180, 7.278 Å; angles 90.00, 90.00, 120.00 degrees
Atoms (fractional coordinates):
1 Sc 0.333 0.667 0.684
2 Sc 0.667 0.333 0.184
3 F 0.333 0.667 0.398
4 F 0.667 0.333 0.898

## Properties
As for the formation energy (no corrections): -2.220 eV/atom. The electronic total energy is -6.322 eV/atom. As for the symmetry: P6_3mc, No. 186.



# 5
Material: ScF
Method: DFT, PBE
State: optimized geometry

Cell lengths 4.843, 4.843, 4.843 Å; angles 90.00, 90.00, 90.00 degrees
Atoms (fractional coordinates):
1 Sc 0.500 0.500 0.500
2 Sc 0.500 0.000 0.000
3 Sc 0.000 0.500 0.000
4 Sc 0.000 0.000 0.500
5 F 0.000 0.000 0.000
6 F 0.000 0.500 0.500
7 F 0.500 0.000 0.500
8 F 0.500 0.500 0.000

## Properties
As for the formation energy (no corrections): -1.834 eV/atom. The electronic total energy is -5.935 eV/atom. As for the symmetry: Fm-3m, No. 225.



# 6
Material: ScF
Method: DFT, PBE
State: optimized geometry

Cell lengths 5.405, 7.351, 6.005 Å; angles 90.00, 90.00, 90.00 degrees
Atoms (fractional coordinates):
1 Sc 0.702 0.587 0.073
2 Sc 0.202 0.913 0.927
3 Sc 0.298 0.087 0.427
4 Sc 0.798 0.413 0.573
5 Sc 0.217 0.343 0.941
6 Sc 0.717 0.157 0.059
7 Sc 0.783 0.843 0.559
8 Sc 0.283 0.657 0.441
9 F 0.285 0.633 0.074
10 F 0.785 0.867 0.926
11 F 0.715 0.133 0.426
12 F 0.215 0.367 0.574
13 F 0.454 0.115 0.785
14 F 0.954 0.385 0.215
15 F 0.546 0.615 0.715
16 F 0.046 0.885 0.285

## Properties
As for the formation energy (no corrections): -2.405 eV/atom. The electronic total energy is -6.506 eV/atom. As for the symmetry: P2_12_12_1, No. 19.



| no. | density (g cm⁻³) |
| --- | --- |
| 1 | 2.87 |
| 2 | 2.88 |
| 3 | 3.87 |
| 4 | 3.33 |
| 5 | 3.74 |
| 6 | 3.56 |